Record 1
Here is an optimized crystal structure of Ac4As2Cl3 from the Alexandria database. Energies are from GGA-PBE. Values from VASP.

Cell and atoms, written as Quantum ESPRESSO input:
```
&SYSTEM
  ibrav = 0, nat = 9, ntyp = 3
/
ATOMIC_SPECIES
Ac 227.00 Ac.upf
As 74.92 As.upf
Cl 35.45 Cl.upf
ATOMIC_POSITIONS angstrom
Ac 9.627 -12.481 2.207
Ac 2.120 -4.108 5.167
Ac 7.222 -10.831 -0.963
Ac -0.285 -2.458 1.997
As 8.356 -10.646 4.374
As 0.985 -4.293 -0.170
Cl 3.352 -5.906 2.989
Cl 0.000 0.000 0.000
Cl 5.990 -9.033 1.215
CELL_PARAMETERS angstrom
-1.642 -0.541 4.141
-1.509 -2.558 -3.364
12.492 -11.840 3.427
```

Results
total magnetization = 0.00 μB/f.u.
D(E_F) = 6.0 states/eV/cell
formation energy (no corrections) = -1744 meV per atom
space-group type = C2/m (12)

Record 2
Here is an optimized crystal structure of LiPdSN2 from the Alexandria database. Energies are from GGA-PBE. Values from VASP.

Cell and atoms, written as Quantum ESPRESSO input:
```
&SYSTEM
  ibrav = 0, nat = 5, ntyp = 4
/
ATOMIC_SPECIES
S 32.06 S.upf
Li 6.94 Li.upf
Pd 106.42 Pd.upf
N 14.01 N.upf
ATOMIC_POSITIONS angstrom
S 2.482 -0.714 0.018
Li 1.734 -3.331 -0.657
Pd 0.000 0.000 0.000
N -0.272 -0.987 -1.699
N -0.476 -1.630 1.023
CELL_PARAMETERS angstrom
-0.953 -3.261 2.047
-0.543 -1.974 -3.397
4.964 -1.428 0.036
```

Results
offset from the most stable computed form = 0 meV per atom
total magnetization = 3.87 μB/f.u.
D(E_F) = 2.0 states/eV/cell
formation energy (no corrections) = 1045 meV per atom
space-group type = P4/mmm (123)

Question: The highest formation energy (no corrections) belongs to which entry?
Answer: LiPdSN2

What did the second record say?
Here is an optimized crystal structure of LiPdSN2 from the Alexandria database. Energies are from GGA-PBE. Values from VASP.

Cell and atoms, written as Quantum ESPRESSO input:
```
&SYSTEM
  ibrav = 0, nat = 5, ntyp = 4
/
ATOMIC_SPECIES
S 32.06 S.upf
Li 6.94 Li.upf
Pd 106.42 Pd.upf
N 14.01 N.upf
ATOMIC_POSITIONS angstrom
S 2.482 -0.714 0.018
Li 1.734 -3.331 -0.657
Pd 0.000 0.000 0.000
N -0.272 -0.987 -1.699
N -0.476 -1.630 1.023
CELL_PARAMETERS angstrom
-0.953 -3.261 2.047
-0.543 -1.974 -3.397
4.964 -1.428 0.036
```

Results
offset from the most stable computed form = 0 meV per atom
total magnetization = 3.87 μB/f.u.
D(E_F) = 2.0 states/eV/cell
formation energy (no corrections) = 1045 meV per atom
space-group type = P4/mmm (123)